# SrSiSb2 | Alexandria via LeMat-Bulk | PBE | optimized geometry
data_SrSiSb2
_cell_length_a 5.290
_cell_length_b 4.011
_cell_length_c 6.052
_cell_angle_alpha 90.00
_cell_angle_beta 111.78
_cell_angle_gamma 90.00
_space_group_name_H-M_alt 'P 1 2/m 1'
_space_group_IT_number 10
loop_
_space_group_symop_operation_xyz
'x,y,z'
'-x,-y,-z'
'-x,y,-z'
'x,-y,z'
loop_
_atom_site_label
_atom_site_type_symbol
_atom_site_fract_x
_atom_site_fract_y
_atom_site_fract_z
Sr1 Sr 0.000 0.000 0.000
Si1 Si 0.500 0.000 0.500
Sb1 Sb 0.341 0.500 0.738
# Energy relative to the elements, uncorrected = -0.14 eV/atom
# Total energy = -15.92 eV per cell



# Sr2SiSb | Alexandria via LeMat-Bulk | PBE | optimized geometry
data_Sr2SiSb
_cell_length_a 7.402
_cell_length_b 9.009
_cell_length_c 3.582
_cell_angle_alpha 90.00
_cell_angle_beta 90.22
_cell_angle_gamma 90.00
_space_group_name_H-M_alt 'C 1 2/m 1'
_space_group_IT_number 12
loop_
_space_group_symop_operation_xyz
'x,y,z'
'-x,-y,-z'
'-x,y,-z'
'x,-y,z'
'x+1/2,y+1/2,z'
'-x+1/2,-y+1/2,-z'
'-x+1/2,y+1/2,-z'
'x+1/2,-y+1/2,z'
loop_
_atom_site_label
_atom_site_type_symbol
_atom_site_fract_x
_atom_site_fract_y
_atom_site_fract_z
Sr1 Sr 0.250 0.250 0.000
Si1 Si 0.000 0.000 0.500
Sb1 Sb 0.000 0.500 0.500
# Energy relative to the elements, uncorrected = -0.45 eV/atom
# Total energy = -29.45 eV per cell



# Sr2SiSb | Alexandria via LeMat-Bulk | PBE | optimized geometry
data_Sr2SiSb
_cell_length_a 3.594
_cell_length_b 4.488
_cell_length_c 7.384
_cell_angle_alpha 90.00
_cell_angle_beta 90.43
_cell_angle_gamma 90.00
_space_group_name_H-M_alt 'P 1 2/m 1'
_space_group_IT_number 10
loop_
_space_group_symop_operation_xyz
'x,y,z'
'-x,-y,-z'
'-x,y,-z'
'x,-y,z'
loop_
_atom_site_label
_atom_site_type_symbol
_atom_site_fract_x
_atom_site_fract_y
_atom_site_fract_z
Sr1 Sr 0.000 0.000 0.234
Si1 Si 0.500 0.500 0.000
Sb1 Sb 0.500 0.500 0.500
# Energy relative to the elements, uncorrected = -0.47 eV/atom
# Total energy = -14.77 eV per cell



# SrSiSb2 | Alexandria via LeMat-Bulk | PBE | optimized geometry
data_SrSiSb2
_cell_length_a 4.751
_cell_length_b 4.751
_cell_length_c 4.708
_cell_angle_alpha 90.00
_cell_angle_beta 90.00
_cell_angle_gamma 90.00
_space_group_name_H-M_alt 'P 4/m m m'
_space_group_IT_number 123
_space_group_name_Hall '-P 4 2'
loop_
_atom_site_label
_atom_site_type_symbol
_atom_site_fract_x
_atom_site_fract_y
_atom_site_fract_z
Sr1 Sr 0.000 0.000 0.000
Si1 Si 0.500 0.500 0.000
Sb1 Sb 0.000 0.500 0.500
# Energy relative to the elements, uncorrected = -0.15 eV/atom
# Total energy = -15.96 eV per cell



# SrSiSb2Te | Alexandria via LeMat-Bulk | PBE | optimized geometry
data_SrSiSb2Te
_cell_length_a 5.982
_cell_length_b 5.982
_cell_length_c 5.982
_cell_angle_alpha 90.00
_cell_angle_beta 90.00
_cell_angle_gamma 90.00
_space_group_name_H-M_alt 'P 4/m m m'
_space_group_IT_number 123
_space_group_name_Hall '-P 4 2'
loop_
_atom_site_label
_atom_site_type_symbol
_atom_site_fract_x
_atom_site_fract_y
_atom_site_fract_z
Sr1 Sr 0.000 0.000 0.000
Si1 Si 0.500 0.500 0.500
Sb1 Sb 0.000 0.500 0.000
Te1 Te 0.000 0.000 0.500
# Energy relative to the elements, uncorrected = 1.07 eV/atom
# Total energy = -13.15 eV per cell



# SrSiSb2Te | Alexandria via LeMat-Bulk | PBE | optimized geometry
data_SrSiSb2Te
_cell_length_a 5.312
_cell_length_b 5.312
_cell_length_c 5.497
_cell_angle_alpha 90.00
_cell_angle_beta 90.00
_cell_angle_gamma 90.00
_space_group_name_H-M_alt 'P 4/m m m'
_space_group_IT_number 123
_space_group_name_Hall '-P 4 2'
loop_
_atom_site_label
_atom_site_type_symbol
_atom_site_fract_x
_atom_site_fract_y
_atom_site_fract_z
Sr1 Sr 0.000 0.000 0.000
Si1 Si 0.500 0.500 0.500
Sb1 Sb 0.000 0.500 0.500
Te1 Te 0.500 0.500 0.000
# Energy relative to the elements, uncorrected = -0.08 eV/atom
# Total energy = -18.91 eV per cell



# TaSi2Sb | Alexandria via LeMat-Bulk | PBE | optimized geometry
data_TaSi2Sb
_cell_length_a 3.962
_cell_length_b 3.962
_cell_length_c 9.147
_cell_angle_alpha 90.00
_cell_angle_beta 90.00
_cell_angle_gamma 90.00
_space_group_name_H-M_alt 'I -4 m 2'
_space_group_IT_number 119
_space_group_name_Hall 'I -4 -2'
loop_
_atom_site_label
_atom_site_type_symbol
_atom_site_fract_x
_atom_site_fract_y
_atom_site_fract_z
Ta1 Ta 0.000 0.000 0.000
Si1 Si 0.000 0.000 0.500
Si2 Si 0.000 0.500 0.250
Sb1 Sb 0.000 0.500 0.750
# Energy relative to the elements, uncorrected = 0.45 eV/atom
# Total energy = -50.03 eV per cell



# TaSi2Sb | Alexandria via LeMat-Bulk | PBE | optimized geometry
data_TaSi2Sb
_cell_length_a 6.060
_cell_length_b 6.060
_cell_length_c 11.669
_cell_angle_alpha 90.00
_cell_angle_beta 90.00
_cell_angle_gamma 90.00
_space_group_name_H-M_alt 'I -4 2 d'
_space_group_IT_number 122
_space_group_name_Hall 'I -4 2bw'
loop_
_atom_site_label
_atom_site_type_symbol
_atom_site_fract_x
_atom_site_fract_y
_atom_site_fract_z
Ta1 Ta 0.000 0.000 0.000
Si1 Si 0.228 0.250 0.125
Sb1 Sb 0.000 0.000 0.500
# Energy relative to the elements, uncorrected = 0.70 eV/atom
# Total energy = -96.02 eV per cell